The following is a DFT calculation (PBE) of MgRuBr2 after structural relaxation.

Cell and atoms, written as POSCAR:
```
MgRuBr2
1.0
-3.654 -0.743 1.898
1.824 -0.665 3.251
-0.347 5.323 1.414
Br Mg Ru
2 1 1
direct
0.000 0.958 0.986 Br
0.000 0.542 0.514 Br
0.500 0.250 0.250 Mg
0.500 0.750 0.750 Ru
```

Values from the calculation:
VASP energy ... -13.47 eV for the cell shown
Magnetic moment ... 1.32 μB per formula unit
SG ... P2/m (10)
Uncorrected formation energy ... 0.19 eV/atom
Distance to the lowest polymorph of the same formula ... 0.4468 eV per atom